No. 1
The following is a PBE calculation of a geometry-optimized AcPdS3 structure, from Alexandria via LeMat-Bulk. Values from VASP.

Results
Total magnetization: 0.00 μB/cell
Crystal system: cubic

Geometry as Quantum ESPRESSO input:
```
&SYSTEM
  ibrav = 0, nat = 5, ntyp = 3
/
ATOMIC_SPECIES
Ac 227.00 Ac.upf
Pd 106.42 Pd.upf
S 32.06 S.upf
CELL_PARAMETERS angstrom
4.763 0.000 0.000
0.000 4.763 0.000
0.000 0.000 4.763
ATOMIC_POSITIONS angstrom
Ac 0.000 0.000 0.000
Pd 2.382 2.382 2.382
S 0.000 2.382 2.382
S 2.382 0.000 2.382
S 2.382 2.382 0.000
```


No. 2
The following is a PBE calculation of a geometry-optimized Ac2SbPdS6 structure, from Alexandria via LeMat-Bulk. Values from VASP.

Results
Total magnetization: 0.00 μB/cell
Crystal system: monoclinic

Geometry as Quantum ESPRESSO input:
```
&SYSTEM
  ibrav = 0, nat = 20, ntyp = 4
/
ATOMIC_SPECIES
Ac 227.00 Ac.upf
Sb 121.76 Sb.upf
Pd 106.42 Pd.upf
S 32.06 S.upf
CELL_PARAMETERS angstrom
6.565 0.000 0.000
0.000 7.562 0.000
-6.417 0.000 9.669
ATOMIC_POSITIONS angstrom
Ac -0.240 0.766 2.412
Ac -3.448 3.015 7.246
Ac 3.596 4.547 2.423
Ac 0.387 6.796 7.257
Sb 3.282 0.000 0.000
Sb 0.074 3.781 4.835
Pd -3.208 0.000 4.835
Pd 0.000 3.781 0.000
S -5.267 1.444 9.237
S -2.058 2.337 4.403
S -4.388 5.133 9.224
S -1.179 6.210 4.389
S -2.492 0.150 7.156
S 0.716 3.631 2.321
S -0.568 3.931 7.348
S 2.640 7.412 2.513
S 1.327 1.352 5.280
S 4.536 2.429 0.445
S 2.206 5.225 5.267
S 5.415 6.118 0.432
```


No. 3
The following is a PBE calculation of a geometry-optimized Ac2ScPdS6 structure, from Alexandria via LeMat-Bulk. Values from VASP.

Results
Total magnetization: 0.00 μB/cell
Crystal system: triclinic

Geometry as Quantum ESPRESSO input:
```
&SYSTEM
  ibrav = 0, nat = 10, ntyp = 4
/
ATOMIC_SPECIES
Ac 227.00 Ac.upf
Sc 44.96 Sc.upf
Pd 106.42 Pd.upf
S 32.06 S.upf
CELL_PARAMETERS angstrom
6.563 0.000 0.000
2.842 5.956 0.000
3.182 1.690 5.896
ATOMIC_POSITIONS angstrom
Ac 3.041 1.929 1.321
Ac 9.547 5.717 4.575
Sc 6.294 3.823 2.948
Pd 0.000 0.000 0.000
S 4.241 4.942 2.004
S 6.238 5.473 4.907
S 5.135 2.272 4.641
S 7.452 5.374 1.256
S 6.349 2.173 0.989
S 8.347 2.704 3.892
```


No. 4
The following is a PBE calculation of a geometry-optimized Ac4PdSe2S structure, from Alexandria via LeMat-Bulk. Values from VASP.

Results
Total magnetization: 0.00 μB/cell
Crystal system: monoclinic

Geometry as Quantum ESPRESSO input:
```
&SYSTEM
  ibrav = 0, nat = 8, ntyp = 4
/
ATOMIC_SPECIES
Ac 227.00 Ac.upf
Pd 106.42 Pd.upf
Se 78.96 Se.upf
S 32.06 S.upf
CELL_PARAMETERS angstrom
7.737 0.000 0.000
0.000 4.349 0.000
-2.583 0.000 7.385
ATOMIC_POSITIONS angstrom
Ac 1.242 0.000 1.787
Ac 0.024 2.175 5.647
Ac 5.130 2.175 1.738
Ac 3.911 0.000 5.599
Pd 3.869 0.000 0.000
Se -1.292 0.000 3.693
Se 2.577 2.175 3.693
S 0.000 2.175 0.000
```


No. 5
The following is a PBE calculation of a geometry-optimized Ac2SiPdS6 structure, from Alexandria via LeMat-Bulk. Values from VASP.

Results
Total magnetization: 0.00 μB/cell
Crystal system: monoclinic

Geometry as Quantum ESPRESSO input:
```
&SYSTEM
  ibrav = 0, nat = 20, ntyp = 4
/
ATOMIC_SPECIES
Ac 227.00 Ac.upf
Si 28.09 Si.upf
Pd 106.42 Pd.upf
S 32.06 S.upf
CELL_PARAMETERS angstrom
6.361 0.000 0.000
0.000 7.866 0.000
-6.156 0.000 9.103
ATOMIC_POSITIONS angstrom
Ac -0.261 0.915 2.357
Ac -3.339 3.018 6.909
Ac 3.544 4.848 2.194
Ac 0.466 6.950 6.745
Si 3.181 0.000 0.000
Si 0.102 3.933 4.551
Pd -3.078 0.000 4.551
Pd 0.000 3.933 0.000
S -4.815 1.119 8.787
S -1.737 2.813 4.235
S -4.200 5.335 8.681
S -1.122 6.463 4.130
S -2.368 0.087 6.844
S 0.710 3.846 2.292
S -0.505 4.020 6.811
S 2.573 7.779 2.259
S 1.326 1.402 4.973
S 4.405 2.530 0.421
S 1.942 5.052 4.867
S 5.020 6.746 0.316
```


No. 6
The following is a PBE calculation of a geometry-optimized AcTa3Pd4S12 structure, from Alexandria via LeMat-Bulk. Values from VASP.

Results
Total magnetization: 0.00 μB/cell
Crystal system: trigonal

Geometry as Quantum ESPRESSO input:
```
&SYSTEM
  ibrav = 0, nat = 20, ntyp = 4
/
ATOMIC_SPECIES
Ac 227.00 Ac.upf
Ta 180.95 Ta.upf
Pd 106.42 Pd.upf
S 32.06 S.upf
CELL_PARAMETERS angstrom
6.496 3.751 3.207
-6.496 3.751 3.207
0.000 -7.501 3.207
ATOMIC_POSITIONS angstrom
Ac 0.000 0.000 0.000
Ta -3.614 -1.241 3.207
Ta 2.882 -2.510 3.207
Ta 0.732 3.751 3.207
Pd -2.750 -4.763 4.810
Pd 0.000 0.000 4.810
Pd -2.750 4.763 4.810
Pd 5.500 0.000 4.810
S -1.581 -1.576 2.041
S -5.164 0.000 4.810
S -0.574 2.157 2.041
S -2.291 0.000 4.810
S 2.155 -0.581 2.041
S 2.582 -4.472 4.810
S 1.145 -1.984 4.810
S -0.574 -2.157 7.579
S 1.145 1.984 4.810
S -1.581 1.576 7.579
S 2.582 4.472 4.810
S 2.155 0.581 7.579
```


No. 7
The following is a PBE calculation of a geometry-optimized Ac2ThPdS5 structure, from Alexandria via LeMat-Bulk. Values from VASP.

Results
Total magnetization: 0.00 μB/cell
Crystal system: orthorhombic

Geometry as Quantum ESPRESSO input:
```
&SYSTEM
  ibrav = 0, nat = 18, ntyp = 4
/
ATOMIC_SPECIES
Ac 227.00 Ac.upf
Th 232.04 Th.upf
Pd 106.42 Pd.upf
S 32.06 S.upf
CELL_PARAMETERS angstrom
2.057 -8.506 0.000
2.057 8.506 0.000
0.000 0.000 12.612
ATOMIC_POSITIONS angstrom
Ac 2.057 6.631 6.306
Ac 2.057 6.509 10.667
Ac 2.057 -6.509 4.361
Ac 2.057 -6.631 0.000
Th 2.057 5.527 2.158
Th 2.057 -5.527 8.464
Pd 2.057 1.025 7.201
Pd 2.057 -1.025 0.895
S 2.057 8.262 2.131
S 2.057 3.370 6.481
S 2.057 3.344 10.436
S 2.057 2.693 2.157
S 2.057 0.088 11.319
S 2.057 -0.088 5.012
S 2.057 -2.693 8.463
S 2.057 -3.344 4.130
S 2.057 -3.370 0.175
S 2.057 -8.262 8.437
```


No. 8
The following is a PBE calculation of a geometry-optimized Ac2TiPdS6 structure, from Alexandria via LeMat-Bulk. Values from VASP.

Results
Total magnetization: 0.00 μB/cell
Crystal system: orthorhombic

Geometry as Quantum ESPRESSO input:
```
&SYSTEM
  ibrav = 0, nat = 20, ntyp = 4
/
ATOMIC_SPECIES
Ac 227.00 Ac.upf
Ti 47.87 Ti.upf
Pd 106.42 Pd.upf
S 32.06 S.upf
CELL_PARAMETERS angstrom
6.614 0.000 0.000
0.000 9.394 0.000
0.000 0.000 7.296
ATOMIC_POSITIONS angstrom
Ac 1.653 0.130 1.439
Ac 1.653 4.567 1.439
Ac 4.960 4.827 5.857
Ac 4.960 9.264 5.857
Ti 1.653 7.046 5.259
Ti 4.960 2.349 2.037
Pd 1.653 2.349 5.400
Pd 4.960 7.046 1.896
S 0.088 7.046 0.119
S 0.119 2.349 3.430
S 1.653 4.716 5.782
S 1.653 9.376 5.782
S 3.187 2.349 3.430
S 3.219 7.046 0.119
S 3.395 2.349 7.176
S 3.426 7.046 3.866
S 4.960 0.019 1.514
S 4.960 4.678 1.514
S 6.494 7.046 3.866
S 6.526 2.349 7.176
```


No. 9
The following is a PBE calculation of a geometry-optimized Ac2YPdS5 structure, from Alexandria via LeMat-Bulk. Values from VASP.

Results
Total magnetization: 0.00 μB/cell
Crystal system: orthorhombic

Geometry as Quantum ESPRESSO input:
```
&SYSTEM
  ibrav = 0, nat = 18, ntyp = 4
/
ATOMIC_SPECIES
Ac 227.00 Ac.upf
Y 88.91 Y.upf
Pd 106.42 Pd.upf
S 32.06 S.upf
CELL_PARAMETERS angstrom
2.010 -8.537 0.000
2.010 8.537 0.000
0.000 0.000 12.436
ATOMIC_POSITIONS angstrom
Ac 2.010 6.559 6.218
Ac 2.010 6.408 10.602
Ac 2.010 -6.408 4.384
Ac 2.010 -6.559 0.000
Y 2.010 5.494 2.219
Y 2.010 -5.494 8.437
Pd 2.010 0.866 7.261
Pd 2.010 -0.866 1.044
S 2.010 8.239 2.239
S 2.010 3.326 6.492
S 2.010 3.306 10.370
S 2.010 2.738 2.177
S 2.010 0.012 11.241
S 2.010 -0.012 5.023
S 2.010 -2.738 8.395
S 2.010 -3.306 4.152
S 2.010 -3.326 0.274
S 2.010 -8.239 8.457
```


No. 10
The following is a PBE calculation of a geometry-optimized AcZr4Pd3S12 structure, from Alexandria via LeMat-Bulk. Values from VASP.

Results
Total magnetization: 0.00 μB/cell
Crystal system: cubic

Geometry as Quantum ESPRESSO input:
```
&SYSTEM
  ibrav = 0, nat = 20, ntyp = 4
/
ATOMIC_SPECIES
Ac 227.00 Ac.upf
Zr 91.22 Zr.upf
Pd 106.42 Pd.upf
S 32.06 S.upf
CELL_PARAMETERS angstrom
-4.735 4.735 4.735
4.735 -4.735 4.735
4.735 4.735 -4.735
ATOMIC_POSITIONS angstrom
Ac 0.000 0.000 0.000
Zr 2.368 2.368 -2.368
Zr 2.368 -2.368 2.368
Zr -2.368 2.368 2.368
Zr 2.368 2.368 2.368
Pd 4.735 0.000 0.000
Pd 0.000 4.735 0.000
Pd 0.000 0.000 4.735
S 4.735 -1.812 3.189
S 2.923 1.547 0.000
S 6.547 1.547 0.000
S 3.189 4.735 -1.812
S 1.547 0.000 2.923
S 0.000 2.923 1.547
S 4.735 1.812 3.189
S 3.189 4.735 1.812
S 1.547 0.000 6.547
S -1.812 3.189 4.735
S 1.812 3.189 4.735
S 0.000 6.547 1.547
```


Number 1: formation energy without anion corrections -1.05 eV/atom. Number 2: formation energy without anion corrections -1.17 eV/atom. Number 3: formation energy without anion corrections -1.53 eV/atom. Number 4: formation energy without anion corrections -1.60 eV/atom. Number 5: formation energy without anion corrections -1.25 eV/atom. Number 6: formation energy without anion corrections -0.60 eV/atom. Number 7: formation energy without anion corrections -1.83 eV/atom. Number 8: formation energy without anion corrections -1.35 eV/atom. Number 9: formation energy without anion corrections -1.79 eV/atom. Number 10: formation energy without anion corrections -1.19 eV/atom.